A relaxed structure of Ho3CuSi6Rh2, computed with PBE.

Summary:
The total energy is -5.890 eV per atom. The symmetry is No. 164.

abc: 5.2638 5.2638 8.8858
angles: 90.00 90.00 120.00
With the nearest neighbours (Å) after each atom.
Positions (direct):
Si  0.1676  0.3352  0.2766  1 Rh 2.40, 1 Cu 2.51, 4 Si 2.62-2.65
Si  0.6648  0.8324  0.2766  1 Rh 2.40, 1 Cu 2.51, 4 Si 2.62-2.65
Si  0.8324  0.6648  0.7234  1 Rh 2.40, 1 Cu 2.51, 4 Si 2.62-2.65
Si  0.1676  0.8324  0.2766  1 Rh 2.40, 1 Cu 2.51, 4 Si 2.62-2.65
Si  0.3352  0.1676  0.7234  1 Rh 2.40, 1 Cu 2.51, 4 Si 2.62-2.65
Si  0.8324  0.1676  0.7234  1 Rh 2.40, 1 Cu 2.51, 4 Si 2.62-2.65
Ho  0.0000  0.0000  0.0000  6 Si 2.89, 6 Rh 3.10
Ho  0.3333  0.6667  0.5789  9 Si 2.93-3.08, 3 Cu 3.12
Ho  0.6667  0.3333  0.4211  9 Si 2.93-3.08, 3 Cu 3.12
Rh  0.3333  0.6667  0.0674  3 Si 2.40
Rh  0.6667  0.3333  0.9326  3 Si 2.40
Cu  0.0000  0.0000  0.5000  6 Si 2.51